No. 1
Here is AcSbRhAu after structural relaxation from Alexandria. Energies are from PBE-GGA.

Unit cell a=4.7019 b=4.7019 c=5.5539 alpha=90.00 beta=90.00 gamma=120.00
Sites, in units of the cell vectors:
Ac  0.0000  0.0000  0.0000
Sb  0.6667  0.3333  0.4138
Rh  0.3333  0.6667  0.2711
Au  0.3333  0.6667  0.7448

Calculated values
Energy relative to the elements, uncorrected: -0.600 eV per atom
Magnetic moment: 0.000 μB/cell
Calculated volume: 106 Å³/cell

No. 2
Here is AcSbRhAu after structural relaxation from Alexandria. Energies are from PBE-GGA.

Unit cell a=5.1240 b=5.1240 c=5.1240 alpha=60.00 beta=60.00 gamma=60.00
Sites, in units of the cell vectors:
Ac  0.0000  0.0000  0.0000
Sb  0.5000  0.5000  0.5000
Rh  0.2500  0.2500  0.2500
Au  0.7500  0.7500  0.7500

Calculated values
Energy relative to the elements, uncorrected: -0.460 eV per atom
Magnetic moment: 0.000 μB/cell
Calculated volume: 95 Å³/cell

No. 3
Here is AcScRhAu after structural relaxation from Alexandria. Energies are from PBE-GGA.

Unit cell a=5.0933 b=5.0933 c=5.0933 alpha=60.00 beta=60.00 gamma=60.00
Sites, in units of the cell vectors:
Ac  0.0000  0.0000  0.0000
Sc  0.5000  0.5000  0.5000
Rh  0.2500  0.2500  0.2500
Au  0.7500  0.7500  0.7500

Calculated values
Magnetic moment: 0.000 μB/cell
Formation enthalpy at 0 K: -54.76 kJ/mol of atoms
Calculated volume: 93 Å³/cell

No. 4
Here is Ac4RhAu2Se after structural relaxation from Alexandria. Energies are from PBE-GGA.

Unit cell a=7.7281 b=4.4100 c=8.0007 alpha=90.00 beta=108.02 gamma=90.00
Sites, in units of the cell vectors:
Ac  0.2312  0.0000  0.2253
Ac  0.2405  0.5000  0.7650
Ac  0.7595  0.5000  0.2350
Ac  0.7688  0.0000  0.7747
Rh  0.0000  0.5000  0.0000
Au  0.5000  0.0000  0.0000
Au  0.5000  0.5000  0.5000
Se  0.0000  0.0000  0.5000

Calculated values
Energy relative to the elements, uncorrected: -1.011 eV per atom
Magnetic moment: 0.000 μB/cell
Calculated volume: 259 Å³/cell

No. 5
Here is Ac4RhAuSe2 after structural relaxation from Alexandria. Energies are from PBE-GGA.

Unit cell a=7.5957 b=4.3657 c=8.2002 alpha=90.00 beta=107.73 gamma=90.00
Sites, in units of the cell vectors:
Ac  0.2334  0.0000  0.2286
Ac  0.2432  0.5000  0.7686
Ac  0.7568  0.5000  0.2314
Ac  0.7666  0.0000  0.7714
Rh  0.0000  0.5000  0.0000
Au  0.5000  0.0000  0.0000
Se  0.0000  0.0000  0.5000
Se  0.5000  0.5000  0.5000

Calculated values
Energy relative to the elements, uncorrected: -1.280 eV per atom
Magnetic moment: 0.000 μB/cell
Calculated volume: 259 Å³/cell

No. 6
Here is Ac6Rh2AuSe3 after structural relaxation from Alexandria. Energies are from PBE-GGA.

Unit cell a=7.5544 b=7.5544 c=8.1691 alpha=98.89 beta=98.89 gamma=120.04
Sites, in units of the cell vectors:
Ac  0.0741  0.4241  0.7719
Ac  0.2265  0.2265  0.2282
Ac  0.4241  0.0741  0.7719
Ac  0.5759  0.9259  0.2281
Ac  0.7735  0.7735  0.7718
Ac  0.9259  0.5759  0.2281
Rh  0.1667  0.8333  0.0000
Rh  0.8333  0.1667  0.0000
Au  0.5000  0.5000  0.0000
Se  0.0000  0.0000  0.5000
Se  0.3359  0.6641  0.5000
Se  0.6641  0.3359  0.5000

Calculated values
Energy relative to the elements, uncorrected: -1.285 eV per atom
Magnetic moment: 0.000 μB/cell
Calculated volume: 384 Å³/cell